Here is a relaxed CdCo2F2 crystal from Alexandria via LeMat-Bulk. Energies are from GGA+U.

Properties
Space-group type ... I4/mmm
ΔE to the lowest computed polymorph ... 457 meV/atom
Energy ... -16.7 eV per cell

Lattice parameters (Å, degrees): 3.1836 3.1836 7.9997 78.52 78.52 90.00
With the nearest neighbours (Å) after each atom.
Positions (direct):
F: 0.4196 0.4196 0.1609  1 F 2.47, 4 Cd 2.57
F: 0.5804 0.5804 0.8391  1 F 2.47, 4 Cd 2.57
Co: 0.7500 0.2500 0.5000  4 Co 2.25
Co: 0.2500 0.7500 0.5000  4 Co 2.25
Cd: 0.0000 0.0000 0.0000  8 F 2.57

***

Here is a relaxed CdFeCoF6 crystal from Alexandria via LeMat-Bulk. Energies are from GGA+U.

Properties
Space-group type ... P4_2nm
Energy ... -86.4 eV per cell

Lattice parameters (Å, degrees): 4.9235 4.9235 10.0755 90.00 90.00 90.00
With the nearest neighbours (Å) after each atom.
Positions (direct):
Cd: 0.5000 0.5000 0.1665  6 F 2.22-2.29
Cd: 0.0000 0.0000 0.6665  6 F 2.22-2.29
Fe: 0.5000 0.5000 0.8336  6 F 2.07-2.15
Fe: 0.0000 0.0000 0.3336  6 F 2.07-2.15
Co: 0.5000 0.5000 0.4996  6 F 2.04-2.11
Co: 0.0000 0.0000 0.9996  6 F 2.04-2.11
F: 0.2067 0.7933 0.4919  1 Co 2.04, 1 Fe 2.15, 1 Cd 2.27
F: 0.7933 0.2067 0.4919  1 Co 2.04, 1 Fe 2.15, 1 Cd 2.27
F: 0.2933 0.2933 0.9919  1 Co 2.04, 1 Fe 2.15, 1 Cd 2.27
F: 0.7067 0.7067 0.9919  1 Co 2.04, 1 Fe 2.15, 1 Cd 2.27
F: 0.1816 0.8184 0.1637  1 Co 2.08, 1 Fe 2.13, 1 Cd 2.22
F: 0.8184 0.1816 0.1637  1 Co 2.08, 1 Fe 2.13, 1 Cd 2.22
F: 0.3184 0.3184 0.6637  1 Co 2.08, 1 Fe 2.13, 1 Cd 2.22
F: 0.6816 0.6816 0.6637  1 Co 2.08, 1 Fe 2.13, 1 Cd 2.22
F: 0.7968 0.2032 0.8446  1 Fe 2.07, 1 Co 2.11, 1 Cd 2.29
F: 0.2032 0.7968 0.8446  1 Fe 2.07, 1 Co 2.11, 1 Cd 2.29
F: 0.7032 0.7032 0.3446  1 Fe 2.07, 1 Co 2.11, 1 Cd 2.29
F: 0.2968 0.2968 0.3446  1 Fe 2.07, 1 Co 2.11, 1 Cd 2.29

***

Here is a relaxed CdGaCoF6 crystal from Alexandria via LeMat-Bulk. Energies are from GGA+U.

Properties
Space-group type ... P-31c
Energy ... -78.0 eV per cell

Lattice parameters (Å, degrees): 5.5721 5.5721 8.9088 90.00 90.00 120.00
With the nearest neighbours (Å) after each atom.
Positions (direct):
Cd: 0.3333 0.6667 0.2500  6 F 2.31
Cd: 0.6667 0.3333 0.7500  6 F 2.31
Ga: 0.6667 0.3333 0.2500  6 F 1.95
Ga: 0.3333 0.6667 0.7500  6 F 1.95
Co: 0.0000 0.0000 0.0000  6 F 2.24
Co: 0.0000 0.0000 0.5000  6 F 2.24
F: 0.6809 0.6320 0.1285  1 Ga 1.95
F: 0.9511 0.3191 0.1285  1 Ga 1.95
F: 0.3191 0.9511 0.6285  1 Ga 1.95
F: 0.0489 0.6809 0.8715  1 Ga 1.95
F: 0.3680 0.3191 0.3715  1 Ga 1.95
F: 0.9511 0.6320 0.3715  1 Ga 1.95
F: 0.6320 0.9511 0.8715  1 Ga 1.95
F: 0.6809 0.0489 0.3715  1 Ga 1.95
F: 0.0489 0.3680 0.6285  1 Ga 1.95
F: 0.3680 0.0489 0.1285  1 Ga 1.95
F: 0.6320 0.6809 0.6285  1 Ga 1.95
F: 0.3191 0.3680 0.8715  1 Ga 1.95

***

Here is a relaxed CdCoH2F8 crystal from Alexandria via LeMat-Bulk. Energies are from GGA+U.

Properties
Space-group type ... C2/m
Energy ... -48.2 eV per cell

Lattice parameters (Å, degrees): 5.0214 5.0172 6.4565 86.11 86.16 70.08
With the nearest neighbours (Å) after each atom.
Positions (direct):
Cd: 0.0000 0.0000 0.5000  6 F 2.27-2.35
Co: 0.0000 0.0000 0.0000  6 F 1.80-1.82
H: 0.2669 0.2667 0.7309  1 F 1.01
H: 0.7331 0.7333 0.2691  1 F 1.01
F: 0.2295 0.7994 0.2043  1 Co 1.82
F: 0.7819 0.7821 0.0509  1 H 1.43
F: 0.7998 0.2298 0.2040  1 Co 1.82
F: 0.7705 0.2006 0.7957  1 Co 1.82
F: 0.2181 0.2179 0.9491  1 H 1.43
F: 0.2002 0.7702 0.7960  1 Co 1.82
F: 0.7245 0.7246 0.4255  1 H 1.01
F: 0.2755 0.2754 0.5745  1 H 1.01

***

Here is a relaxed HfCdCo2F crystal from Alexandria via LeMat-Bulk. Energies are from GGA+U.

Properties
Space-group type ... P4/mmm
Energy ... -17.2 eV per cell

Lattice parameters (Å, degrees): 4.8004 5.3924 4.8004 90.00 90.00 90.00
With the nearest neighbours (Å) after each atom.
Positions (direct):
Co: 0.0000 0.0000 0.5000  2 Cd 2.40
Co: 0.5000 0.0000 0.0000  2 Cd 2.40
F: 0.5000 0.5000 0.5000  4 Hf 3.39, 8 Co 3.61
Hf: 0.0000 0.5000 0.0000  2 Cd 2.70
Cd: 0.0000 0.0000 0.0000  4 Co 2.40

***

Here is a relaxed CdCoHgF6 crystal from Alexandria via LeMat-Bulk. Energies are from GGA+U.

Properties
Space-group type ... P-31c
Energy ... -69.2 eV per cell

Lattice parameters (Å, degrees): 5.7038 5.7038 9.5186 90.00 90.00 120.00
With the nearest neighbours (Å) after each atom.
Positions (direct):
Cd: 0.3333 0.6667 0.2500  6 F 2.27
Cd: 0.6667 0.3333 0.7500  6 F 2.27
Co: 0.6667 0.3333 0.2500  6 F 2.06
Co: 0.3333 0.6667 0.7500  6 F 2.06
Hg: 0.0000 0.0000 0.0000  6 F 2.37
Hg: 0.0000 0.0000 0.5000  6 F 2.37
F: 0.6645 0.6375 0.1339  1 Co 2.06, 1 Cd 2.27
F: 0.9730 0.3355 0.1339  1 Co 2.06, 1 Cd 2.27
F: 0.3355 0.9730 0.6339  1 Co 2.06, 1 Cd 2.27
F: 0.0270 0.6645 0.8661  1 Co 2.06, 1 Cd 2.27
F: 0.3625 0.3355 0.3661  1 Co 2.06, 1 Cd 2.27
F: 0.9730 0.6375 0.3661  1 Co 2.06, 1 Cd 2.27
F: 0.6375 0.9730 0.8661  1 Co 2.06, 1 Cd 2.27
F: 0.6645 0.0270 0.3661  1 Co 2.06, 1 Cd 2.27
F: 0.0270 0.3625 0.6339  1 Co 2.06, 1 Cd 2.27
F: 0.3625 0.0270 0.1339  1 Co 2.06, 1 Cd 2.27
F: 0.6375 0.6645 0.6339  1 Co 2.06, 1 Cd 2.27
F: 0.3355 0.3625 0.8661  1 Co 2.06, 1 Cd 2.27

***

Here is a relaxed CdCoI2F crystal from Alexandria via LeMat-Bulk. Energies are from GGA+U.

Properties
Space-group type ... P4/mmm
Energy ... -7.7 eV per cell

Lattice parameters (Å, degrees): 5.6969 5.3418 5.6969 90.00 90.00 90.00
With the nearest neighbours (Å) after each atom.
Positions (direct):
I: 0.0000 0.0000 0.5000  2 Cd 2.85
I: 0.5000 0.0000 0.0000  2 Cd 2.85
F: 0.5000 0.5000 0.5000  8 I 3.90, 4 Co 4.03
Co: 0.0000 0.5000 0.0000  2 Cd 2.67
Cd: 0.0000 0.0000 0.0000  2 Co 2.67, 4 I 2.85

***

Here is a relaxed CdCo2IrF crystal from Alexandria via LeMat-Bulk. Energies are from GGA+U.

Properties
Space-group type ... P4/mmm
Energy ... -12.7 eV per cell

Lattice parameters (Å, degrees): 4.8698 4.9769 4.8698 90.00 90.00 90.00
With the nearest neighbours (Å) after each atom.
Positions (direct):
F: 0.5000 0.5000 0.5000  4 Ir 3.44, 8 Co 3.48
Ir: 0.0000 0.5000 0.0000  2 Cd 2.49
Co: 0.0000 0.0000 0.5000  2 Cd 2.43
Co: 0.5000 0.0000 0.0000  2 Cd 2.43
Cd: 0.0000 0.0000 0.0000  4 Co 2.43, 2 Ir 2.49

***

Here is a relaxed KCdCo2F crystal from Alexandria via LeMat-Bulk. Energies are from GGA+U.

Properties
Space-group type ... P4/mmm
Energy ... -7.8 eV per cell

Lattice parameters (Å, degrees): 5.6843 6.4402 5.6843 90.00 90.00 90.00
With the nearest neighbours (Å) after each atom.
Positions (direct):
K: 0.0000 0.0000 0.0000  4 Co 2.84
F: 0.5000 0.5000 0.5000  4 Cd 4.02, 8 Co 4.29
Co: 0.0000 0.0000 0.5000  2 K 2.84
Co: 0.5000 0.0000 0.0000  2 K 2.84
Cd: 0.0000 0.5000 0.0000  2 K 3.22

***

Here is a relaxed K3Cd2CoF9 crystal from Alexandria via LeMat-Bulk. Energies are from GGA+U.

Properties
Space-group type ... P-3m1
Energy ... -62.9 eV per cell

Lattice parameters (Å, degrees): 6.1424 6.1424 7.5308 90.00 90.00 120.00
With the nearest neighbours (Å) after each atom.
Positions (direct):
K: 0.3333 0.6667 0.6666  12 F 3.05-3.07
K: 0.0000 0.0000 0.0000  12 F 3.07-3.10
K: 0.6667 0.3333 0.3334  12 F 3.05-3.07
Cd: 0.3333 0.6667 0.1789  6 F 2.23-2.24
Cd: 0.6667 0.3333 0.8211  6 F 2.23-2.24
Co: 0.0000 0.0000 0.5000  6 F 2.05
F: 0.8413 0.1587 0.6551  1 Co 2.05, 1 Cd 2.24
F: 0.8413 0.6826 0.6551  1 Co 2.05, 1 Cd 2.24
F: 0.3174 0.1587 0.6551  1 Co 2.05, 1 Cd 2.24
F: 0.6826 0.8413 0.3449  1 Co 2.05, 1 Cd 2.24
F: 0.1587 0.3174 0.3449  1 Co 2.05, 1 Cd 2.24
F: 0.1587 0.8413 0.3449  1 Co 2.05, 1 Cd 2.24
F: 0.5000 0.0000 0.0000  2 Cd 2.23
F: 0.0000 0.5000 0.0000  2 Cd 2.23
F: 0.5000 0.5000 0.0000  2 Cd 2.23

***

Here is a relaxed KCd2CoF8 crystal from Alexandria via LeMat-Bulk. Energies are from GGA+U.

Properties
Space-group type ... P-1
Energy ... -49.4 eV per cell

Lattice parameters (Å, degrees): 4.9815 5.1622 7.1731 89.33 89.24 89.79
With the nearest neighbours (Å) after each atom.
Positions (direct):
K: 0.0000 0.0000 0.5000  6 F 2.46-2.63
Cd: 0.4980 0.4948 0.7567  6 F 2.23-2.37
Cd: 0.5020 0.5052 0.2433  6 F 2.23-2.37
Co: 0.0000 0.0000 0.0000  6 F 1.89-2.03
F: 0.1578 0.7822 0.1911  1 Co 1.94
F: 0.6951 0.7392 0.9970  1 Co 2.03
F: 0.8297 0.2021 0.1847  1 Co 1.89
F: 0.8422 0.2178 0.8089  1 Co 1.94
F: 0.3049 0.2608 0.0030  1 Co 2.03
F: 0.1703 0.7979 0.8153  1 Co 1.89
F: 0.5967 0.7278 0.5006  2 Cd 2.23-2.24, 1 K 2.46
F: 0.4033 0.2722 0.4994  2 Cd 2.23-2.24, 1 K 2.46

***

Here is a relaxed Li2CdCoF8 crystal from Alexandria via LeMat-Bulk. Energies are from GGA+U.

Properties
Space-group type ... P-1
Energy ... -51.0 eV per cell

Lattice parameters (Å, degrees): 4.6983 4.6901 6.6090 89.89 89.89 88.14
With the nearest neighbours (Å) after each atom.
Positions (direct):
Li: 0.4991 0.4990 0.7319  4 F 1.98-2.05
Li: 0.5009 0.5010 0.2681  4 F 1.98-2.05
Cd: 0.0000 0.0000 0.5000  6 F 2.13-2.35
Co: 0.0000 0.0000 0.0000  6 F 1.79-1.83
F: 0.1929 0.8053 0.2001  1 Co 1.83, 1 Li 2.05
F: 0.7344 0.7360 0.0007  1 Co 1.79
F: 0.8070 0.1946 0.2001  1 Co 1.83, 1 Li 2.05
F: 0.8071 0.1947 0.7999  1 Co 1.83, 1 Li 2.05
F: 0.2656 0.2640 0.9993  1 Co 1.79
F: 0.1930 0.8054 0.7999  1 Co 1.83, 1 Li 2.05
F: 0.6841 0.6852 0.5003  2 Li 1.98, 1 Cd 2.13
F: 0.3159 0.3148 0.4997  2 Li 1.98, 1 Cd 2.13